# 1
Compound: Sb3Se
Source: Alexandria
Functional: PBE
Structure: optimized geometry

POSCAR file:
```
Sb3Se
1.0
-2.905 -1.867 2.132
2.198 -2.090 -2.697
5.310 -1.761 5.691
Sb Se
3 1
Cartesian
2.654 -0.880 2.845
0.124 -2.381 1.946
0.000 0.000 0.000
2.778 -3.261 4.791
```

Output
energy above the lowest structure with this stoichiometry = 118 meV per atom
total energy = -3.856 eV per atom
energy relative to the elements, uncorrected = 0.11 eV per atom


# 2
Compound: SbSe3
Source: Alexandria
Functional: PBE
Structure: optimized geometry

POSCAR file:
```
SbSe3
1.0
3.967 0.000 0.000
0.000 5.935 0.000
0.000 0.000 9.590
Se Sb
6 2
Cartesian
0.000 4.121 1.248
1.984 0.000 4.208
0.000 2.968 5.382
0.000 1.814 1.248
1.984 4.782 8.342
1.984 1.153 8.342
1.984 2.968 3.445
0.000 0.000 6.145
```

Output
energy above the lowest structure with this stoichiometry = 0 meV per atom
total energy = -3.623 eV per atom
energy relative to the elements, uncorrected = 0.02 eV per atom


# 3
Compound: Sb2Se
Source: Alexandria
Functional: PBE
Structure: optimized geometry

POSCAR file:
```
Sb2Se
1.0
-0.971 -4.314 3.127
-2.207 0.320 -4.936
2.400 -1.383 -1.163
Sb Se
2 1
Cartesian
-0.179 -3.463 -0.144
-0.599 -1.914 -2.828
0.000 0.000 0.000
```

Output
total energy = -3.696 eV per atom
energy relative to the elements, uncorrected = 0.21 eV per atom


# 4
Compound: Sb2Se
Source: Alexandria
Functional: PBE
Structure: optimized geometry

POSCAR file:
```
Sb2Se
1.0
-3.794 1.460 0.066
-1.393 -3.706 1.857
1.599 3.761 8.705
Sb Se
4 2
Cartesian
0.771 1.704 6.574
-1.668 0.946 8.381
-0.565 -1.649 3.988
-1.920 0.569 2.247
0.000 0.000 0.000
-1.794 0.757 5.314
```

Output
total energy = -3.835 eV per atom
energy relative to the elements, uncorrected = 0.08 eV per atom


# 5
Compound: SbSe5
Source: Alexandria
Functional: PBE
Structure: optimized geometry

POSCAR file:
```
SbSe5
1.0
1.801 5.552 -0.129
-1.801 5.552 -0.129
0.000 0.825 8.986
Se Sb
5 1
Cartesian
0.000 7.318 6.358
0.000 0.513 5.169
0.000 4.794 3.339
0.000 4.031 8.690
0.000 6.431 1.678
0.000 11.534 8.479
```

Output
energy above the lowest structure with this stoichiometry = 0 meV per atom
total energy = -3.530 eV per atom
energy relative to the elements, uncorrected = 0.06 eV per atom


# 6
Compound: SbSe2
Source: Alexandria
Functional: PBE
Structure: optimized geometry

POSCAR file:
```
SbSe2
1.0
7.467 -6.179 5.559
3.387 -5.830 8.909
-6.470 3.808 -8.275
Sb Se
2 4
Cartesian
0.000 0.000 0.000
3.212 -4.188 2.259
1.932 -4.854 4.947
0.412 -3.173 2.921
4.667 -5.164 6.221
6.187 -6.845 8.247
```

Output
total energy = -3.569 eV per atom
energy relative to the elements, uncorrected = 0.13 eV per atom


# 7
Compound: Sb2Se
Source: Alexandria
Functional: PBE
Structure: optimized geometry

POSCAR file:
```
Sb2Se
1.0
4.801 0.000 -0.004
0.000 4.317 0.000
-2.729 0.000 9.864
Sb Se
4 2
Cartesian
-0.634 3.166 7.470
1.342 1.008 7.322
0.730 1.008 2.538
2.707 3.166 2.390
2.401 0.068 -0.002
1.036 2.227 4.930
```

Output
total energy = -3.905 eV per atom
energy relative to the elements, uncorrected = 0.01 eV per atom


# 8
Compound: SbSe3
Source: Alexandria
Functional: PBE
Structure: optimized geometry

POSCAR file:
```
SbSe3
1.0
-2.146 -0.951 -6.480
1.916 -1.998 -6.312
-1.004 -4.690 -4.950
Se Sb
3 1
Cartesian
-0.617 -3.820 -8.871
-0.926 -5.729 -13.306
-0.309 -1.910 -4.436
0.000 0.000 0.000
```

Output
energy above the lowest structure with this stoichiometry = 24 meV per atom
total energy = -3.598 eV per atom
energy relative to the elements, uncorrected = 0.05 eV per atom


# 9
Compound: Sb8Se
Source: Alexandria
Functional: PBE
Structure: optimized geometry

POSCAR file:
```
Sb8Se
1.0
5.599 0.217 4.573
-3.040 4.714 -4.566
-5.338 -0.366 4.866
Sb Se
8 1
Cartesian
0.180 -0.103 6.497
-0.138 3.199 1.704
2.788 1.680 1.600
-2.641 1.366 3.169
-0.229 3.251 -1.592
0.081 -0.046 2.941
-2.611 1.355 0.094
-5.767 2.993 0.207
0.000 0.000 0.000
```

Output
total energy = -3.774 eV per atom
energy relative to the elements, uncorrected = 0.28 eV per atom


# 10
Compound: Sb3Se
Source: Alexandria
Functional: PBE
Structure: optimized geometry

POSCAR file:
```
Sb3Se
1.0
-0.434 5.871 4.581
-4.487 4.542 3.857
-2.014 2.473 6.743
Sb Se
3 1
Cartesian
-1.748 3.247 3.826
-3.468 6.443 7.590
-5.187 9.638 11.355
0.000 0.000 0.000
```

Output
energy above the lowest structure with this stoichiometry = 14 meV per atom
total energy = -3.960 eV per atom
energy relative to the elements, uncorrected = 0.00 eV per atom


# 11
Compound: SbSe2
Source: Alexandria
Functional: PBE
Structure: optimized geometry

POSCAR file:
```
SbSe2
1.0
-3.441 1.775 0.333
0.609 -2.532 -2.885
-2.195 -4.992 3.917
Se Sb
2 1
Cartesian
-2.388 -4.843 1.128
-2.639 -0.906 0.238
0.000 0.000 0.000
```

Output
total energy = -3.854 eV per atom
energy relative to the elements, uncorrected = -0.16 eV per atom


# 12
Compound: Sb2Se3
Source: Alexandria
Functional: PBE
Structure: optimized geometry

POSCAR file:
```
Sb2Se3
1.0
-0.230 -0.772 -3.787
11.143 -6.557 0.659
-6.423 -10.658 2.563
Se Sb
12 8
Cartesian
-1.748 -5.761 0.291
-1.961 -13.308 -0.137
-5.540 -10.155 -0.562
6.516 -8.458 -1.641
3.249 -13.300 1.524
1.728 -10.620 -0.909
-2.026 -9.529 1.076
2.762 -7.367 0.344
6.451 -4.679 -0.428
10.029 -7.832 -0.003
1.241 -4.686 -2.089
6.238 -12.226 -0.856
4.638 -11.146 1.000
7.771 -6.224 -2.172
1.065 -11.873 1.366
8.826 -9.675 -1.533
-3.281 -11.763 1.608
3.425 -6.114 -1.931
-0.148 -6.841 -1.565
-4.336 -8.312 0.968
```

Output
total energy = -3.929 eV per atom
energy relative to the elements, uncorrected = -0.19 eV per atom


| no. | Fermi-level density of states (states/eV/cell) |
| --- | --- |
| 1 | 2.13 |
| 2 | 4.81 |
| 3 | 0.95 |
| 4 | 3.05 |
| 5 | 3.02 |
| 6 | 3.82 |
| 7 | 0.55 |
| 8 | 1.96 |
| 9 | 5.34 |
| 10 | 3.09 |
| 11 | 1.76 |
| 12 | 1.15 |